# NaLiSiAg PBE optimized geometry
data_NaLiSiAg
_space_group_name_H-M_alt 'P 1'
_space_group_IT_number 1
_cell_length_a 4.595
_cell_length_b 4.595
_cell_length_c 4.595
_cell_angle_alpha 60.00
_cell_angle_beta 60.00
_cell_angle_gamma 60.00
loop_
_space_group_symop_operation_xyz
'x,y,z'
loop_
_atom_site_label
_atom_site_fract_x
_atom_site_fract_y
_atom_site_fract_z
Li1 0.250 0.250 0.250
Na1 0.500 0.500 0.500
Ag1 0.750 0.750 0.750
Si1 0.000 0.000 0.000
# Total magnetization in μB/f.u.: 0.00
# Raw total energy in eV/f.u.: -11.6



# MgTl2Tc PBE optimized geometry
data_MgTl2Tc
_space_group_name_H-M_alt 'P 1'
_space_group_IT_number 1
_cell_length_a 4.858
_cell_length_b 4.858
_cell_length_c 4.858
_cell_angle_alpha 60.00
_cell_angle_beta 60.00
_cell_angle_gamma 60.00
loop_
_space_group_symop_operation_xyz
'x,y,z'
loop_
_atom_site_label
_atom_site_fract_x
_atom_site_fract_y
_atom_site_fract_z
Tc1 0.500 0.500 0.500
Tl1 0.750 0.750 0.750
Tl2 0.250 0.250 0.250
Mg1 0.000 0.000 0.000
# Total magnetization in μB/f.u.: 0.00
# Offset from the most stable computed form in eV/atom: 0.157
# Raw total energy in eV/f.u.: -14.5



# Li2Zn2Ga7 PBE optimized geometry
data_Li2Zn2Ga7
_space_group_name_H-M_alt 'P 1'
_space_group_IT_number 1
_cell_length_a 7.570
_cell_length_b 5.431
_cell_length_c 5.431
_cell_angle_alpha 114.01
_cell_angle_beta 96.39
_cell_angle_gamma 96.39
loop_
_space_group_symop_operation_xyz
'x,y,z'
loop_
_atom_site_label
_atom_site_fract_x
_atom_site_fract_y
_atom_site_fract_z
Ga1 0.845 0.081 0.553
Ga2 0.000 0.000 0.000
Ga3 0.845 0.553 0.081
Ga4 0.329 0.252 0.252
Li1 0.500 0.247 0.753
Zn1 0.665 0.258 0.258
Ga5 0.155 0.919 0.447
Ga6 0.155 0.447 0.919
Ga7 0.671 0.748 0.748
Li2 0.500 0.753 0.247
Zn2 0.335 0.742 0.742
# Total magnetization in μB/f.u.: 0.00
# Raw total energy in eV/f.u.: -28.5



# TiCrNi3 PBE optimized geometry
data_TiCrNi3
_space_group_name_H-M_alt 'P 1'
_space_group_IT_number 1
_cell_length_a 4.211
_cell_length_b 4.211
_cell_length_c 4.211
_cell_angle_alpha 90.00
_cell_angle_beta 90.00
_cell_angle_gamma 90.00
loop_
_space_group_symop_operation_xyz
'x,y,z'
loop_
_atom_site_label
_atom_site_fract_x
_atom_site_fract_y
_atom_site_fract_z
Ni1 0.500 0.000 0.000
Ni2 0.000 0.500 0.000
Ti1 0.500 0.500 0.500
Ni3 0.000 0.000 0.500
Cr1 0.000 0.000 0.000
# Total magnetization in μB/f.u.: 0.00
# Offset from the most stable computed form in eV/atom: 0.000
# Raw total energy in eV/f.u.: -30.7



# CdRuBr2 PBE optimized geometry
data_CdRuBr2
_space_group_name_H-M_alt 'P 1'
_space_group_IT_number 1
_cell_length_a 3.752
_cell_length_b 3.752
_cell_length_c 9.665
_cell_angle_alpha 79.79
_cell_angle_beta 79.79
_cell_angle_gamma 59.97
loop_
_space_group_symop_operation_xyz
'x,y,z'
loop_
_atom_site_label
_atom_site_fract_x
_atom_site_fract_y
_atom_site_fract_z
Ru1 0.250 0.250 0.250
Br1 0.960 0.960 0.109
Br2 0.540 0.540 0.391
Cd1 0.750 0.750 0.750
# Total magnetization in μB/f.u.: 0.00
# Offset from the most stable computed form in eV/atom: 0.111
# Raw total energy in eV/f.u.: -13.2



# NaTaNO2 PBE optimized geometry
data_NaTaNO2
_space_group_name_H-M_alt 'P 1'
_space_group_IT_number 1
_cell_length_a 3.758
_cell_length_b 3.758
_cell_length_c 3.858
_cell_angle_alpha 90.00
_cell_angle_beta 90.00
_cell_angle_gamma 90.00
loop_
_space_group_symop_operation_xyz
'x,y,z'
loop_
_atom_site_label
_atom_site_fract_x
_atom_site_fract_y
_atom_site_fract_z
Na1 0.000 0.000 0.000
Ta1 0.500 0.500 0.500
N1 0.000 0.000 0.500
O1 0.000 0.500 0.000
O2 0.500 0.000 0.000
# Total magnetization in μB/f.u.: 1.11
# Raw total energy in eV/f.u.: -27.7



# CeGdCo2 PBE optimized geometry
data_CeGdCo2
_space_group_name_H-M_alt 'P 1'
_space_group_IT_number 1
_cell_length_a 5.027
_cell_length_b 5.027
_cell_length_c 4.611
_cell_angle_alpha 56.97
_cell_angle_beta 56.97
_cell_angle_gamma 60.00
loop_
_space_group_symop_operation_xyz
'x,y,z'
loop_
_atom_site_label
_atom_site_fract_x
_atom_site_fract_y
_atom_site_fract_z
Gd1 0.500 0.500 0.500
Co1 0.210 0.210 0.370
Ce1 0.000 0.000 0.000
Co2 0.790 0.790 0.630
# Total magnetization in μB/f.u.: 7.03
# Offset from the most stable computed form in eV/atom: 0.000
# Raw total energy in eV/f.u.: -34.9



# PrPu4Ge3 PBE optimized geometry
data_PrPu4Ge3
_space_group_name_H-M_alt 'P 1'
_space_group_IT_number 1
_cell_length_a 7.932
_cell_length_b 7.932
_cell_length_c 8.437
_cell_angle_alpha 118.04
_cell_angle_beta 118.04
_cell_angle_gamma 90.00
loop_
_space_group_symop_operation_xyz
'x,y,z'
loop_
_atom_site_label
_atom_site_fract_x
_atom_site_fract_y
_atom_site_fract_z
Ge1 0.362 0.138 0.000
Ge2 0.638 0.862 0.000
Pu1 0.686 0.502 0.687
Ge3 0.750 0.750 0.500
Pu2 0.998 0.814 0.313
Pu3 0.002 0.186 0.687
Ge4 0.250 0.250 0.500
Ge5 0.138 0.638 0.000
Pu4 0.814 0.314 0.313
Pu5 0.498 0.998 0.313
Ge6 0.862 0.362 0.000
Pu6 0.314 0.498 0.313
Pu7 0.186 0.686 0.687
Pu8 0.502 0.002 0.687
Pr1 0.000 0.000 0.000
Pr2 0.500 0.500 0.000
# Total magnetization in μB/f.u.: 23.13
# Raw total energy in eV/f.u.: -79.2



# Tb6Sm8Al PBE optimized geometry
data_Tb6Sm8Al
_space_group_name_H-M_alt 'P 1'
_space_group_IT_number 1
_cell_length_a 6.393
_cell_length_b 9.383
_cell_length_c 9.383
_cell_angle_alpha 120.00
_cell_angle_beta 90.00
_cell_angle_gamma 90.00
loop_
_space_group_symop_operation_xyz
'x,y,z'
loop_
_atom_site_label
_atom_site_fract_x
_atom_site_fract_y
_atom_site_fract_z
Sm1 0.192 0.264 0.221
Tb1 0.678 0.453 0.356
Sm2 0.169 0.667 0.333
Sm3 0.808 0.043 0.264
Tb2 0.322 0.096 0.453
Tb3 0.322 0.356 0.904
Sm4 0.808 0.221 0.957
Tb4 0.322 0.547 0.644
Al1 0.500 0.000 0.000
Sm5 0.808 0.736 0.779
Sm6 0.831 0.333 0.667
Tb5 0.678 0.904 0.547
Sm7 0.192 0.957 0.736
Sm8 0.192 0.779 0.043
Tb6 0.678 0.644 0.096
# Total magnetization in μB/f.u.: 0.00
# Raw total energy in eV/f.u.: -67.9



# LaNd3Y6Tm2 PBE optimized geometry
data_LaNd3Y6Tm2
_space_group_name_H-M_alt 'P 1'
_space_group_IT_number 1
_cell_length_a 6.238
_cell_length_b 6.238
_cell_length_c 11.909
_cell_angle_alpha 94.99
_cell_angle_beta 94.99
_cell_angle_gamma 119.98
loop_
_space_group_symop_operation_xyz
'x,y,z'
loop_
_atom_site_label
_atom_site_fract_x
_atom_site_fract_y
_atom_site_fract_z
Y1 0.252 0.252 0.752
Y2 0.917 0.582 0.752
Y3 0.582 0.917 0.752
Y4 0.083 0.418 0.248
Nd1 0.167 0.833 0.500
Y5 0.418 0.083 0.248
Tm1 0.333 0.667 0.000
La1 0.000 0.000 0.000
Tm2 0.667 0.333 0.000
Nd2 0.500 0.500 0.500
Y6 0.748 0.748 0.248
Nd3 0.833 0.167 0.500
# Total magnetization in μB/f.u.: 0.00
# Raw total energy in eV/f.u.: -66.7



# NaTe3Pd3 PBE optimized geometry
data_NaTe3Pd3
_space_group_name_H-M_alt 'P 1'
_space_group_IT_number 1
_cell_length_a 7.440
_cell_length_b 7.440
_cell_length_c 7.440
_cell_angle_alpha 90.00
_cell_angle_beta 90.00
_cell_angle_gamma 90.00
loop_
_space_group_symop_operation_xyz
'x,y,z'
loop_
_atom_site_label
_atom_site_fract_x
_atom_site_fract_y
_atom_site_fract_z
Pd1 0.500 0.750 0.000
Pd2 0.500 0.250 0.000
Na1 0.000 0.000 0.000
Te1 0.000 0.250 0.500
Pd3 0.250 0.000 0.500
Pd4 0.750 0.000 0.500
Pd5 0.000 0.500 0.250
Te2 0.000 0.750 0.500
Te3 0.500 0.000 0.750
Te4 0.250 0.500 0.000
Te5 0.500 0.000 0.250
Na2 0.500 0.500 0.500
Pd6 0.000 0.500 0.750
Te6 0.750 0.500 0.000
# Total magnetization in μB/f.u.: 0.00
# Raw total energy in eV/f.u.: -28.3